(P)
A relaxed structure of KFeAg2, computed with PBE-GGA.

abc: 6.379 6.379 6.379
angles: 154.23 129.51 57.53
Fractional coordinates of all 4 atoms:
K (0.000, 0.000, 0.000)
Fe (0.717, 0.217, 0.500)
Ag (0.281, 0.781, 0.500)
Ag (0.510, 0.510, 0.000)

Output
As for the total magnetic moment: 2.98 Bohr magnetons per cell.


(Q)
A relaxed structure of KFeAg2, computed with PBE-GGA.

abc: 4.630 4.630 7.371
angles: 94.60 94.60 35.97
Fractional coordinates of all 4 atoms:
K (0.000, 0.000, 0.000)
Fe (0.500, 0.500, 0.500)
Ag (0.237, 0.237, 0.669)
Ag (0.763, 0.763, 0.331)

Output
As for the total magnetic moment: 2.99 Bohr magnetons per cell.


In order of decreasing stability: (Q), (P).


(P)
A relaxed structure of KFeAg2, computed with PBE-GGA.

abc: 4.997 4.997 4.997
angles: 60.00 60.00 60.00
Fractional coordinates of all 4 atoms:
K (0.000, 0.000, 0.000)
Fe (0.500, 0.500, 0.500)
Ag (0.250, 0.250, 0.250)
Ag (0.750, 0.750, 0.750)

Output
As for the total magnetic moment: 3.14 Bohr magnetons per cell.


(Q)
A relaxed structure of KFeAg2, computed with PBE-GGA.

abc: 2.830 4.612 7.185
angles: 90.00 90.29 90.00
Fractional coordinates of all 4 atoms:
K (0.000, 0.000, 0.000)
Fe (0.009, 0.500, 0.621)
Ag (0.505, 0.500, 0.299)
Ag (0.508, 0.000, 0.560)

Output
As for the total magnetic moment: 2.82 Bohr magnetons per cell.


In order of decreasing stability: (Q), (P).


(P)
A relaxed structure of KFe2Ag, computed with PBE-GGA.

abc: 4.761 4.761 4.761
angles: 60.00 60.00 60.00
Fractional coordinates of all 4 atoms:
K (0.000, 0.000, 0.000)
Fe (0.500, 0.500, 0.500)
Fe (0.750, 0.750, 0.750)
Ag (0.250, 0.250, 0.250)

Output
As for the total magnetic moment: 5.37 Bohr magnetons per cell.


(Q)
A relaxed structure of KFe2Ag, computed with PBE-GGA.

abc: 10.113 10.113 10.113
angles: 153.26 153.26 38.18
Fractional coordinates of all 8 atoms:
K (0.375, 0.625, 0.750)
K (0.625, 0.375, 0.250)
Fe (0.000, 0.000, 0.000)
Fe (0.000, 0.000, 0.500)
Fe (0.000, 0.500, 0.000)
Fe (0.500, 0.000, 0.500)
Ag (0.125, 0.875, 0.250)
Ag (0.875, 0.125, 0.750)

Output
As for the total magnetic moment: 11.70 Bohr magnetons per cell.


In order of decreasing stability: (Q), (P).


(P)
A relaxed structure of KFe3Ag, computed with PBE-GGA.

abc: 4.489 4.489 4.489
angles: 90.00 90.00 90.00
Fractional coordinates of all 5 atoms:
K (0.000, 0.000, 0.000)
Fe (0.000, 0.000, 0.500)
Fe (0.000, 0.500, 0.000)
Fe (0.500, 0.000, 0.000)
Ag (0.500, 0.500, 0.500)

Output
As for the total magnetic moment: 7.91 Bohr magnetons per cell.


(Q)
A relaxed structure of KFe3Ag, computed with PBE-GGA.

abc: 4.952 4.952 4.952
angles: 90.00 90.00 90.00
Fractional coordinates of all 5 atoms:
K (0.000, 0.000, 0.000)
Fe (0.000, 0.500, 0.500)
Fe (0.500, 0.000, 0.500)
Fe (0.500, 0.500, 0.000)
Ag (0.500, 0.500, 0.500)

Output
As for the total magnetic moment: 9.79 Bohr magnetons per cell.


In order of decreasing stability: (Q), (P).